The following is a PBE calculation of an optimized crystal structure of MoAs2W, from the Alexandria database.

Unit cell a=3.2831 b=3.2831 c=5.9108 alpha=90.00 beta=90.00 gamma=90.00
Element x y z (fractional)
Mo  0.0000  0.0000  0.4651
As  0.0000  0.0000  0.9733
As  0.5000  0.5000  0.2781
W  0.5000  0.5000  0.7835

Results
The calculation puts the density of states at the Fermi level at 1.744 states/eV/f.u. The total energy is -8.294 eV per atom. The formation energy is -0.024 eV/atom.